Density functional theory data (PBE-GGA) for an optimized crystal structure of PmNdSmDy2.

a = 7.1783 Å, b = 8.4655 Å, c = 7.1986 Å
α = 126.01°, β = 90.00°, γ = 90.00°
Element x y z (fractional)
1 Pm 0.7500 0.0000 0.0000
2 Dy 0.0000 0.3127 0.0000
3 Sm 0.7500 0.7263 0.4525
4 Pm 0.2500 0.0000 0.0000
5 Sm 0.2500 0.2737 0.5475
6 Nd 0.2500 0.7289 0.4578
7 Dy 0.0000 0.6873 0.0000
8 Dy 0.5000 0.6873 0.0000
9 Dy 0.5000 0.3127 0.0000
10 Nd 0.7500 0.2711 0.5422

calculated formation energy: 0.37 eV per atom
calculated volume: 35.38 Å³/atom
density of states at the Fermi level: 16.062 states/eV per cell
M_tot: 0.00 μB/f.u.
SG: No. 63